No. 1
Compound: RbLa2CdRu
Source: Alexandria
Functional: PBE
Structure: optimized geometry

Results
Its mass density is 5.6 g cm⁻³. For the formation energy from the elements, the calculation gives -0.038 eV/atom. As for the magnetization: 0.00 μB/cell.

Cell: 5.467 5.467 5.739 Å, 90.00 90.00 90.00°
Positions (direct):
1 Rb 0.000 0.000 0.000
2 La 0.000 0.500 0.500
3 La 0.500 0.000 0.500
4 Cd 0.500 0.500 0.000
5 Ru 0.500 0.500 0.500

***

No. 2
Compound: RbLaCd2Ru
Source: Alexandria
Functional: PBE
Structure: optimized geometry

Results
Its mass density is 5.8 g cm⁻³. For the formation energy from the elements, the calculation gives -0.067 eV/atom. As for the magnetization: 0.00 μB/cell.

Cell: 5.570 5.570 5.069 Å, 90.00 90.00 90.00°
Positions (direct):
1 Rb 0.000 0.000 0.000
2 La 0.500 0.500 0.000
3 Cd 0.000 0.500 0.500
4 Cd 0.500 0.000 0.500
5 Ru 0.500 0.500 0.500

***

No. 3
Compound: Rb2LaCd2S4
Source: Alexandria
Functional: PBE
Structure: optimized geometry

Results
Its mass density is 4.1 g cm⁻³. Its raw formation energy is -1.150 eV per atom. As for the magnetization: 0.00 μB/cell.

Cell: 8.568 8.568 8.314 Å, 112.43 112.43 28.25°
Positions (direct):
1 Rb 0.127 0.127 0.056
2 Rb 0.873 0.873 0.944
3 La 0.000 0.000 0.500
4 Cd 0.313 0.313 0.482
5 Cd 0.687 0.687 0.518
6 S 0.189 0.189 0.715
7 S 0.472 0.472 0.717
8 S 0.528 0.528 0.283
9 S 0.811 0.811 0.285

***

No. 4
Compound: RbLaCdSe3
Source: Alexandria
Functional: PBE
Structure: optimized geometry

Results
Its mass density is 4.5 g cm⁻³. Its raw formation energy is -1.391 eV per atom. As for the magnetization: 0.00 μB/cell.

Cell: 9.430 4.453 10.478 Å, 90.00 106.19 90.00°
Positions (direct):
1 Rb 0.206 0.250 0.229
2 Rb 0.794 0.750 0.771
3 La 0.329 0.750 0.857
4 La 0.671 0.250 0.143
5 Cd 0.085 0.250 0.609
6 Cd 0.915 0.750 0.391
7 Se 0.110 0.250 0.865
8 Se 0.211 0.750 0.536
9 Se 0.460 0.750 0.150
10 Se 0.540 0.250 0.850
11 Se 0.789 0.250 0.464
12 Se 0.890 0.750 0.135